Record 1
A geometry-optimized V2GaC structure, computed with PBE.

a b c (Å): 2.938 2.938 12.873
angles (deg): 90.00 90.00 120.00
Atoms (fractional coordinates):
V  0.333  0.667  0.085
V  0.333  0.667  0.415
V  0.667  0.333  0.585
V  0.667  0.333  0.915
Ga  0.333  0.667  0.750
Ga  0.667  0.333  0.250
C  0.000  0.000  0.000
C  0.000  0.000  0.500

Calculated values
* density of states at the Fermi level: 5.29 states/eV/cell
* formation energy: -0.502 eV/atom


Record 2
A geometry-optimized V6Ga3C structure, computed with PBE.

a b c (Å): 5.265 5.265 7.499
angles (deg): 121.81 121.81 56.66
Atoms (fractional coordinates):
V  0.160  0.683  0.740
V  0.251  0.251  0.083
V  0.317  0.840  0.260
V  0.683  0.160  0.740
V  0.749  0.749  0.917
V  0.840  0.317  0.260
Ga  0.157  0.157  0.687
Ga  0.500  0.500  0.500
Ga  0.843  0.843  0.313
C  0.000  0.000  0.000

Calculated values
* density of states at the Fermi level: 6.81 states/eV/cell
* formation energy: -0.044 eV/atom


Record 3
A geometry-optimized V3GaC structure, computed with PBE.

a b c (Å): 6.630 6.630 3.020
angles (deg): 90.00 90.00 106.38
Atoms (fractional coordinates):
V  0.159  0.418  0.500
V  0.220  0.780  0.000
V  0.418  0.159  0.500
V  0.582  0.841  0.500
V  0.780  0.220  0.000
V  0.841  0.582  0.500
Ga  0.000  0.000  0.500
Ga  0.500  0.500  0.000
C  0.000  0.500  0.000
C  0.500  0.000  0.000

Calculated values
* density of states at the Fermi level: 7.61 states/eV/cell
* formation energy: -0.314 eV/atom


Record 4
A geometry-optimized V2GaC structure, computed with PBE.

a b c (Å): 5.098 2.942 6.724
angles (deg): 90.00 104.79 90.00
Atoms (fractional coordinates):
V  0.223  0.000  0.168
V  0.277  0.500  0.832
V  0.723  0.500  0.168
V  0.777  0.000  0.832
Ga  0.000  0.000  0.500
Ga  0.500  0.500  0.500
C  0.000  0.500  0.000
C  0.500  0.000  0.000

Calculated values
* density of states at the Fermi level: 4.61 states/eV/cell
* formation energy: -0.452 eV/atom


Record 5
A geometry-optimized V5Ga5C structure, computed with PBE.

a b c (Å): 5.078 5.078 8.335
angles (deg): 98.26 98.26 48.17
Atoms (fractional coordinates):
V  0.000  0.000  0.000
V  0.300  0.300  0.074
V  0.406  0.406  0.774
V  0.594  0.594  0.226
V  0.700  0.700  0.926
Ga  0.119  0.119  0.744
Ga  0.195  0.195  0.383
Ga  0.500  0.500  0.500
Ga  0.805  0.805  0.617
Ga  0.881  0.881  0.256
C  0.500  0.500  0.000

Calculated values
* density of states at the Fermi level: 7.85 states/eV/cell
* formation energy: -0.135 eV/atom


Record 6
A geometry-optimized VGaC3 structure, computed with PBE.

a b c (Å): 3.959 3.959 3.959
angles (deg): 90.00 90.00 90.00
Atoms (fractional coordinates):
V  0.000  0.000  0.000
Ga  0.500  0.500  0.500
C  0.000  0.000  0.500
C  0.000  0.500  0.000
C  0.500  0.000  0.000

Calculated values
* density of states at the Fermi level: 1.95 states/eV/cell
* formation energy: 1.698 eV/atom


Record 7
A geometry-optimized VGa3C structure, computed with PBE.

a b c (Å): 4.296 4.296 4.296
angles (deg): 90.00 90.00 90.00
Atoms (fractional coordinates):
V  0.000  0.000  0.000
Ga  0.000  0.500  0.500
Ga  0.500  0.000  0.500
Ga  0.500  0.500  0.000
C  0.500  0.500  0.500

Calculated values
* density of states at the Fermi level: 3.45 states/eV/cell
* formation energy: 0.905 eV/atom


Record 8
A geometry-optimized VGa3C structure, computed with PBE.

a b c (Å): 4.916 4.916 4.916
angles (deg): 90.00 90.00 90.00
Atoms (fractional coordinates):
V  0.000  0.000  0.000
Ga  0.000  0.000  0.500
Ga  0.000  0.500  0.000
Ga  0.500  0.000  0.000
C  0.500  0.500  0.500

Calculated values
* density of states at the Fermi level: 1.37 states/eV/cell
* formation energy: 1.675 eV/atom


Record 9
A geometry-optimized VGaC structure, computed with PBE.

a b c (Å): 4.641 3.102 5.144
angles (deg): 90.00 97.01 90.00
Atoms (fractional coordinates):
V  0.242  0.250  0.055
V  0.758  0.750  0.945
Ga  0.252  0.750  0.631
Ga  0.748  0.250  0.369
C  0.077  0.750  0.249
C  0.923  0.250  0.751

Calculated values
* density of states at the Fermi level: 4.74 states/eV/cell
* formation energy: 0.188 eV/atom


Record 10
A geometry-optimized V2GaC structure, computed with PBE.

a b c (Å): 2.647 2.647 6.540
angles (deg): 90.00 90.00 90.00
Atoms (fractional coordinates):
V  0.000  0.000  0.178
V  0.000  0.000  0.822
Ga  0.500  0.500  0.500
C  0.500  0.500  0.000

Calculated values
* density of states at the Fermi level: 1.06 states/eV/cell
* formation energy: -0.086 eV/atom


Record 11
A geometry-optimized V2GaC structure, computed with PBE.

a b c (Å): 5.726 5.726 5.726
angles (deg): 90.00 90.00 90.00
Atoms (fractional coordinates):
V  0.250  0.250  0.250
V  0.250  0.250  0.750
V  0.250  0.750  0.250
V  0.250  0.750  0.750
V  0.750  0.250  0.250
V  0.750  0.250  0.750
V  0.750  0.750  0.250
V  0.750  0.750  0.750
Ga  0.000  0.000  0.000
Ga  0.000  0.500  0.500
Ga  0.500  0.000  0.500
Ga  0.500  0.500  0.000
C  0.000  0.000  0.500
C  0.000  0.500  0.000
C  0.500  0.000  0.000
C  0.500  0.500  0.500

Calculated values
* density of states at the Fermi level: 20.38 states/eV/cell
* formation energy: 0.787 eV/atom


Record 12
A geometry-optimized V8GaC4 structure, computed with PBE.

a b c (Å): 7.063 7.063 9.497
angles (deg): 127.94 127.94 23.61
Atoms (fractional coordinates):
V  0.040  0.040  0.248
V  0.295  0.295  0.424
V  0.331  0.331  0.162
V  0.379  0.379  0.916
V  0.621  0.621  0.084
V  0.669  0.669  0.838
V  0.705  0.705  0.576
V  0.960  0.960  0.752
Ga  0.000  0.000  0.500
C  0.145  0.145  0.961
C  0.333  0.333  0.667
C  0.667  0.667  0.333
C  0.855  0.855  0.039

Calculated values
* density of states at the Fermi level: 10.25 states/eV/cell
* formation energy: -0.456 eV/atom


Record 13
A geometry-optimized V6GaC structure, computed with PBE.

a b c (Å): 4.497 4.924 4.939
angles (deg): 98.84 101.61 101.58
Atoms (fractional coordinates):
V  0.115  0.227  0.224
V  0.269  0.803  0.431
V  0.270  0.429  0.803
V  0.730  0.571  0.197
V  0.731  0.197  0.569
V  0.885  0.773  0.776
Ga  0.500  0.000  0.000
C  0.500  0.500  0.500

Calculated values
* density of states at the Fermi level: 7.20 states/eV/cell
* formation energy: -0.128 eV/atom


Record 14
A geometry-optimized V3Ga2C structure, computed with PBE.

a b c (Å): 6.007 6.007 5.068
angles (deg): 105.71 105.71 104.11
Atoms (fractional coordinates):
V  0.000  0.500  0.500
V  0.091  0.226  0.026
V  0.226  0.091  0.526
V  0.500  0.000  0.000
V  0.774  0.909  0.474
V  0.909  0.774  0.974
Ga  0.294  0.706  0.250
Ga  0.439  0.561  0.750
Ga  0.561  0.439  0.250
Ga  0.706  0.294  0.750
C  0.096  0.904  0.750
C  0.904  0.096  0.250

Calculated values
* density of states at the Fermi level: 7.36 states/eV/cell
* formation energy: -0.105 eV/atom


Record 15
A geometry-optimized V12Ga6C structure, computed with PBE.

a b c (Å): 6.727 6.727 6.727
angles (deg): 101.18 101.18 101.18
Atoms (fractional coordinates):
V  0.036  0.052  0.309
V  0.052  0.309  0.036
V  0.219  0.492  0.400
V  0.309  0.036  0.052
V  0.400  0.219  0.492
V  0.492  0.400  0.219
V  0.508  0.600  0.781
V  0.600  0.781  0.508
V  0.691  0.964  0.948
V  0.781  0.508  0.600
V  0.948  0.691  0.964
V  0.964  0.948  0.691
Ga  0.111  0.336  0.689
Ga  0.311  0.889  0.664
Ga  0.336  0.689  0.111
Ga  0.664  0.311  0.889
Ga  0.689  0.111  0.336
Ga  0.889  0.664  0.311
C  0.000  0.000  0.000

Calculated values
* density of states at the Fermi level: 15.94 states/eV/cell
* formation energy: 0.103 eV/atom


Record 16
A geometry-optimized V8GaC2 structure, computed with PBE.

a b c (Å): 7.121 7.121 7.121
angles (deg): 144.73 140.08 54.32
Atoms (fractional coordinates):
V  0.108  0.108  0.000
V  0.161  0.403  0.757
V  0.273  0.773  0.500
V  0.354  0.597  0.757
V  0.646  0.403  0.243
V  0.727  0.227  0.500
V  0.839  0.597  0.243
V  0.892  0.892  0.000
Ga  0.500  0.000  0.500
C  0.266  0.266  0.000
C  0.734  0.734  0.000

Calculated values
* density of states at the Fermi level: 6.10 states/eV/cell
* formation energy: -0.039 eV/atom


Record 17
A geometry-optimized V4GaC structure, computed with PBE.

a b c (Å): 7.448 8.062 2.912
angles (deg): 90.00 90.00 90.00
Atoms (fractional coordinates):
V  0.000  0.247  0.000
V  0.000  0.753  0.000
V  0.177  0.000  0.500
V  0.323  0.500  0.500
V  0.500  0.253  0.000
V  0.500  0.747  0.000
V  0.677  0.500  0.500
V  0.823  0.000  0.500
Ga  0.000  0.500  0.500
Ga  0.500  0.000  0.500
C  0.000  0.000  0.000
C  0.500  0.500  0.000

Calculated values
* density of states at the Fermi level: 11.73 states/eV/cell
* formation energy: 0.228 eV/atom


Record 18
A geometry-optimized V12Ga5C2 structure, computed with PBE.

a b c (Å): 7.604 7.604 7.014
angles (deg): 117.34 117.34 48.59
Atoms (fractional coordinates):
V  0.001  0.001  0.169
V  0.086  0.594  0.841
V  0.192  0.567  0.378
V  0.406  0.914  0.159
V  0.433  0.808  0.622
V  0.495  0.495  0.792
V  0.505  0.505  0.208
V  0.567  0.192  0.378
V  0.594  0.086  0.841
V  0.808  0.433  0.622
V  0.914  0.406  0.159
V  0.999  0.999  0.831
Ga  0.000  0.000  0.500
Ga  0.233  0.233  0.962
Ga  0.236  0.236  0.505
Ga  0.764  0.764  0.495
Ga  0.767  0.767  0.038
C  0.269  0.731  0.000
C  0.731  0.269  0.000

Calculated values
* density of states at the Fermi level: 16.79 states/eV/cell
* formation energy: -0.031 eV/atom


Record 19
A geometry-optimized V5GaC2 structure, computed with PBE.

a b c (Å): 3.065 5.444 11.058
angles (deg): 90.00 90.00 90.00
Atoms (fractional coordinates):
V  0.000  0.000  0.000
V  0.000  0.255  0.347
V  0.000  0.255  0.653
V  0.000  0.745  0.347
V  0.000  0.745  0.653
V  0.500  0.245  0.153
V  0.500  0.245  0.847
V  0.500  0.500  0.500
V  0.500  0.755  0.153
V  0.500  0.755  0.847
Ga  0.000  0.500  0.000
Ga  0.500  0.000  0.500
C  0.000  0.000  0.197
C  0.000  0.000  0.803
C  0.500  0.500  0.303
C  0.500  0.500  0.697

Calculated values
* density of states at the Fermi level: 9.50 states/eV/cell
* formation energy: -0.389 eV/atom


Record 20
A geometry-optimized V2GaC structure, computed with PBE.

a b c (Å): 2.923 2.923 19.500
angles (deg): 90.00 90.00 120.00
Atoms (fractional coordinates):
V  0.000  0.000  0.000
V  0.000  0.000  0.219
V  0.333  0.667  0.667
V  0.333  0.667  0.886
V  0.667  0.333  0.333
V  0.667  0.333  0.553
Ga  0.000  0.000  0.442
Ga  0.333  0.667  0.109
Ga  0.667  0.333  0.776
C  0.000  0.000  0.610
C  0.333  0.667  0.277
C  0.667  0.333  0.943

Calculated values
* density of states at the Fermi level: 5.19 states/eV/cell
* formation energy: -0.510 eV/atom